1.
This record from Alexandria describes an optimized crystal structure of Y2SbRuC. The functional is GGA-PBE.

```
Y2SbRuC
1.0
5.0592 0.0000 0.0000
0.0000 5.0592 0.0000
0.0000 0.0000 3.9670
Y Sb Ru C
2 1 1 1
Direct
0.0000 0.5000 0.0000
0.5000 0.0000 0.0000
0.0000 0.0000 0.5000
0.5000 0.5000 0.5000
0.5000 0.5000 0.0000
```

Properties
DFT total energy = -7.63 eV/atom
SG = P4/mmm (123)
uncorrected formation energy = -0.516 eV per atom
Fermi-level density of states = 0.708 states/eV/atom
M_tot = 0.0 μB/f.u.

2.
This record from Alexandria describes an optimized crystal structure of ScRuC3. The functional is GGA-PBE.

```
ScRuC3
1.0
4.0409 0.0000 0.0000
0.0000 4.0409 0.0000
0.0000 0.0000 4.0409
Sc Ru C
1 1 3
Direct
0.0000 0.0000 0.0000
0.5000 0.5000 0.5000
0.0000 0.0000 0.5000
0.0000 0.5000 0.0000
0.5000 0.0000 0.0000
```

Properties
energy relative to the elements = 2.771 eV/atom
DFT total energy = -5.88 eV/atom
SG = Pm-3m (221)
polymorph energy (0 for the lowest one) = 1410 meV per atom
Fermi-level density of states = 0.925 states/eV/atom
M_tot = 0.0 μB/f.u.

3.
This record from Alexandria describes an optimized crystal structure of ScRu2C. The functional is GGA-PBE.

```
ScRu2C
1.0
6.8413 0.0000 0.0000
0.0000 6.8413 0.0000
0.0000 0.0000 4.8142
Sc Ru C
4 8 4
Direct
0.0000 0.0000 0.0000
0.0000 0.5000 0.2500
0.5000 0.0000 0.7500
0.5000 0.5000 0.5000
0.1297 0.2500 0.6250
0.2500 0.6297 0.8750
0.2500 0.8703 0.3750
0.3703 0.2500 0.1250
0.6297 0.7500 0.1250
0.7500 0.1297 0.3750
0.7500 0.3703 0.8750
0.8703 0.7500 0.6250
0.0000 0.0000 0.5000
0.0000 0.5000 0.7500
0.5000 0.0000 0.2500
0.5000 0.5000 0.0000
```

Properties
energy relative to the elements = -0.151 eV/atom
DFT total energy = -8.68 eV/atom
SG = I-42d (122)
Fermi-level density of states = 0.944 states/eV/atom
M_tot = 0.0 μB/f.u.

4.
This record from Alexandria describes an optimized crystal structure of Sc2Ru6C. The functional is GGA-PBE.

```
Sc2Ru6C
1.0
0.0000 4.0048 4.0048
4.0048 0.0000 4.0048
4.0048 4.0048 0.0000
Sc Ru C
2 6 1
Direct
0.2500 0.2500 0.2500
0.7500 0.7500 0.7500
0.2408 0.2408 0.7592
0.2408 0.7592 0.2408
0.2408 0.7592 0.7592
0.7592 0.2408 0.2408
0.7592 0.2408 0.7592
0.7592 0.7592 0.2408
0.5000 0.5000 0.5000
```

Properties
energy relative to the elements = -0.188 eV/atom
DFT total energy = -8.80 eV/atom
SG = Fm-3m (225)
Fermi-level density of states = 1.617 states/eV/atom
M_tot = 0.0 μB/f.u.